! LaIr2 | Alexandria via LeMat-Bulk | PBE-GGA | optimized geometry; values from VASP
! uncorrected energy	-7.655	eV/atom
! Fermi-level density of states	5.8	states/eV per cell
! ΔE_f	-0.105	eV per atom
&SYSTEM
  ibrav = 0, nat = 6, ntyp = 2
/
ATOMIC_SPECIES
La 138.91 La.upf
Ir 192.22 Ir.upf
ATOMIC_POSITIONS crystal
La 0.154 0.154 0.135
La 0.846 0.846 0.865
Ir 0.147 0.147 0.510
Ir 0.445 0.445 0.261
Ir 0.555 0.555 0.739
Ir 0.853 0.853 0.490
CELL_PARAMETERS angstrom
5.278 -1.465 0.000
5.278 1.465 0.000
-2.798 0.000 7.479